No. 1
! PBE-GGA Ge2Pd3Ru, optimized geometry; values from VASP
&SYSTEM
  ibrav = 0, nat = 12, ntyp = 3
/
ATOMIC_SPECIES
Pd 106.42 Pd.upf
Ge 72.64 Ge.upf
Ru 101.07 Ru.upf
CELL_PARAMETERS angstrom
5.059 0.000 -2.100
-0.854 4.814 -2.058
0.166 0.331 7.542
ATOMIC_POSITIONS angstrom
Pd 2.664 1.727 2.934
Pd 1.707 3.418 0.450
Pd 1.889 3.610 -2.594
Pd 2.316 1.203 -1.565
Pd -0.229 4.134 2.930
Pd 4.600 1.011 0.455
Ge 4.012 3.108 -1.231
Ge 0.359 2.037 4.616
Ge 2.588 4.444 2.484
Ge 1.782 0.701 0.900
Ru -0.214 1.203 -0.514
Ru -0.641 3.610 -1.543
! * energy of formation from the pure elements: -0.297 eV per atom
! * magnetic moment: 0.27 μB/f.u.
! * crystal system: orthorhombic
! * calculated density: 9.92 g/cm3

=====

No. 2
! PBE-GGA GePd3Ru, optimized geometry; values from VASP
&SYSTEM
  ibrav = 0, nat = 5, ntyp = 3
/
ATOMIC_SPECIES
Pd 106.42 Pd.upf
Ge 72.64 Ge.upf
Ru 101.07 Ru.upf
CELL_PARAMETERS angstrom
-3.079 1.902 -3.148
-1.849 -4.350 -0.819
-3.179 0.688 3.525
ATOMIC_POSITIONS angstrom
Pd -1.590 0.344 1.763
Pd -1.540 0.951 -1.574
Pd -0.925 -2.175 -0.409
Ge -4.054 -0.880 -0.221
Ru 0.000 0.000 0.000
! * energy of formation from the pure elements: 1.182 eV per atom
! * magnetic moment: 1.87 μB/f.u.
! * crystal system: cubic
! * calculated density: 7.42 g/cm3

=====

No. 3
! PBE-GGA GePd3Ru, optimized geometry; values from VASP
&SYSTEM
  ibrav = 0, nat = 5, ntyp = 3
/
ATOMIC_SPECIES
Ru 101.07 Ru.upf
Pd 106.42 Pd.upf
Ge 72.64 Ge.upf
CELL_PARAMETERS angstrom
4.589 0.000 0.000
0.000 4.589 0.000
0.000 0.000 4.589
ATOMIC_POSITIONS angstrom
Ru 2.294 2.294 2.294
Pd 0.000 2.294 0.000
Pd 2.294 0.000 0.000
Pd 0.000 0.000 2.294
Ge 0.000 0.000 0.000
! * energy of formation from the pure elements: 0.753 eV per atom
! * magnetic moment: 2.87 μB/f.u.
! * crystal system: cubic
! * calculated density: 8.47 g/cm3

=====

No. 4
! PBE-GGA GePdRu2, optimized geometry; values from VASP
&SYSTEM
  ibrav = 0, nat = 8, ntyp = 3
/
ATOMIC_SPECIES
Ru 101.07 Ru.upf
Pd 106.42 Pd.upf
Ge 72.64 Ge.upf
CELL_PARAMETERS angstrom
-0.050 -0.065 7.245
5.872 -4.245 0.002
4.373 -0.132 3.652
ATOMIC_POSITIONS angstrom
Ru 8.096 -3.668 9.080
Ru 5.741 -1.916 5.457
Ru 4.755 -2.697 2.163
Ru 1.799 -0.601 5.098
Pd 3.617 -1.175 7.260
Pd 0.000 0.000 0.000
Ge 6.578 -3.265 3.639
Ge 2.911 -2.155 3.624
! * energy of formation from the pure elements: 0.371 eV per atom
! * magnetic moment: 0.80 μB/f.u.
! * crystal system: tetragonal
! * calculated density: 9.66 g/cm3

=====

No. 5
! PBE-GGA Ge2PdRu, optimized geometry; values from VASP
&SYSTEM
  ibrav = 0, nat = 4, ntyp = 3
/
ATOMIC_SPECIES
Ge 72.64 Ge.upf
Ru 101.07 Ru.upf
Pd 106.42 Pd.upf
CELL_PARAMETERS angstrom
3.058 0.000 0.000
0.000 4.418 0.000
0.000 0.000 4.418
ATOMIC_POSITIONS angstrom
Ge 0.000 2.209 0.000
Ge 0.000 0.000 2.209
Ru 1.529 0.000 0.000
Pd 1.529 2.209 2.209
! * energy of formation from the pure elements: -0.141 eV per atom
! * magnetic moment: 0.34 μB/f.u.
! * crystal system: tetragonal
! * calculated density: 9.81 g/cm3

=====

No. 6
! PBE-GGA Ge3PdRu, optimized geometry; values from VASP
&SYSTEM
  ibrav = 0, nat = 5, ntyp = 3
/
ATOMIC_SPECIES
Ge 72.64 Ge.upf
Pd 106.42 Pd.upf
Ru 101.07 Ru.upf
CELL_PARAMETERS angstrom
-4.562 1.253 0.278
-0.654 -1.386 -4.484
-1.104 -4.355 1.507
ATOMIC_POSITIONS angstrom
Ge -2.281 0.627 0.139
Ge -0.327 -0.693 -2.242
Ge -0.552 -2.178 0.754
Pd -3.160 -2.244 -1.349
Ru 0.000 0.000 0.000
! * energy of formation from the pure elements: 0.329 eV per atom
! * magnetic moment: 0.00 μB/f.u.
! * crystal system: cubic
! * calculated density: 6.64 g/cm3

=====

No. 7
! PBE-GGA Ge2PdRu, optimized geometry; values from VASP
&SYSTEM
  ibrav = 0, nat = 8, ntyp = 3
/
ATOMIC_SPECIES
Pd 106.42 Pd.upf
Ge 72.64 Ge.upf
Ru 101.07 Ru.upf
CELL_PARAMETERS angstrom
-4.028 -0.087 3.867
3.593 -2.154 3.693
1.215 4.026 5.388
ATOMIC_POSITIONS angstrom
Pd -1.515 1.409 6.518
Pd 0.000 0.000 0.000
Ge 0.797 2.149 6.927
Ge -1.710 0.684 4.173
Ge 1.991 -0.352 4.191
Ge 0.481 1.087 10.606
Ru 2.295 0.376 6.431
Ru -0.218 -1.121 3.780
! * energy of formation from the pure elements: 0.197 eV per atom
! * magnetic moment: 0.00 μB/f.u.
! * crystal system: tetragonal
! * calculated density: 6.73 g/cm3

=====

No. 8
! PBE-GGA Sm2Ge4Pd3Ru, optimized geometry; values from VASP
&SYSTEM
  ibrav = 0, nat = 10, ntyp = 4
/
ATOMIC_SPECIES
Ge 72.64 Ge.upf
Sm 150.36 Sm.upf
Pd 106.42 Pd.upf
Ru 101.07 Ru.upf
CELL_PARAMETERS angstrom
-1.851 0.171 3.805
-1.608 -3.871 -0.608
8.543 -4.231 4.346
ATOMIC_POSITIONS angstrom
Ge 4.439 -2.572 4.632
Ge 0.000 0.000 0.000
Ge -1.730 -1.850 1.599
Ge 2.374 -3.510 1.313
Sm 5.629 -5.122 2.969
Sm 1.184 -0.960 2.976
Pd 6.451 -3.568 5.655
Pd 0.363 -2.513 0.289
Pd 4.271 -2.116 2.173
Ru 2.542 -3.965 3.772
! * energy of formation from the pure elements: -0.762 eV per atom
! * magnetic moment: 0.00 μB/f.u.
! * crystal system: tetragonal
! * calculated density: 8.94 g/cm3

=====

No. 9
! PBE-GGA SmGe2PdRu, optimized geometry; values from VASP
&SYSTEM
  ibrav = 0, nat = 5, ntyp = 4
/
ATOMIC_SPECIES
Ru 101.07 Ru.upf
Ge 72.64 Ge.upf
Sm 150.36 Sm.upf
Pd 106.42 Pd.upf
CELL_PARAMETERS angstrom
4.179 0.000 0.000
0.000 4.179 0.000
-2.089 -2.089 5.279
ATOMIC_POSITIONS angstrom
Ru 0.000 2.089 2.640
Ge 0.000 0.000 3.991
Ge 2.089 2.089 1.288
Sm 0.000 0.000 0.000
Pd 2.089 0.000 2.640
! * energy of formation from the pure elements: -0.716 eV per atom
! * magnetic moment: 0.00 μB/f.u.
! * crystal system: tetragonal
! * calculated density: 9.06 g/cm3

=====

No. 10
! PBE-GGA SrGe2PdRu, optimized geometry; values from VASP
&SYSTEM
  ibrav = 0, nat = 5, ntyp = 4
/
ATOMIC_SPECIES
Pd 106.42 Pd.upf
Sr 87.62 Sr.upf
Ru 101.07 Ru.upf
Ge 72.64 Ge.upf
CELL_PARAMETERS angstrom
4.651 0.000 0.000
0.000 5.408 0.000
0.000 0.000 4.651
ATOMIC_POSITIONS angstrom
Pd 0.000 2.704 0.000
Sr 2.325 2.704 2.325
Ru 0.000 0.000 0.000
Ge 2.325 0.000 0.000
Ge 0.000 0.000 2.325
! * energy of formation from the pure elements: -0.138 eV per atom
! * magnetic moment: 0.00 μB/f.u.
! * crystal system: tetragonal
! * calculated density: 6.25 g/cm3

=====

No. 11
! PBE-GGA SrGe2PdRu, optimized geometry; values from VASP
&SYSTEM
  ibrav = 0, nat = 5, ntyp = 4
/
ATOMIC_SPECIES
Ge 72.64 Ge.upf
Sr 87.62 Sr.upf
Pd 106.42 Pd.upf
Ru 101.07 Ru.upf
CELL_PARAMETERS angstrom
-0.311 2.664 -3.293
-3.868 -1.525 -0.869
-0.136 3.212 5.351
ATOMIC_POSITIONS angstrom
Ge -1.646 2.798 2.419
Ge -2.668 1.554 -1.230
Sr 0.000 0.000 0.000
Pd -3.046 1.129 1.201
Ru -1.268 3.223 -0.011
! * energy of formation from the pure elements: -0.610 eV per atom
! * magnetic moment: 0.00 μB/f.u.
! * crystal system: tetragonal
! * calculated density: 7.41 g/cm3

=====

No. 12
! PBE-GGA TaGePdRu2, optimized geometry; values from VASP
&SYSTEM
  ibrav = 0, nat = 5, ntyp = 4
/
ATOMIC_SPECIES
Ta 180.95 Ta.upf
Ge 72.64 Ge.upf
Ru 101.07 Ru.upf
Pd 106.42 Pd.upf
CELL_PARAMETERS angstrom
4.478 0.000 0.000
0.000 4.773 0.000
0.000 0.000 4.478
ATOMIC_POSITIONS angstrom
Ta 0.000 2.386 0.000
Ge 0.000 0.000 0.000
Ru 2.239 0.000 0.000
Ru 0.000 0.000 2.239
Pd 2.239 2.386 2.239
! * energy of formation from the pure elements: 1.093 eV per atom
! * magnetic moment: 0.71 μB/f.u.
! * crystal system: tetragonal
! * calculated density: 9.75 g/cm3